1.
# LiPuBe | OQMD via LeMat-Bulk | PBE-GGA | relaxed
# Symmetry: F-43m (216)
# Crystal system: cubic
# Calculated total energy in eV per atom: -5.788
data_LiPuBe
_chemical_formula_sum 'Li1 Pu1 Be1'
_cell_length_a 4.4013
_cell_length_b 4.4013
_cell_length_c 4.4013
_cell_angle_alpha 60.00
_cell_angle_beta 60.00
_cell_angle_gamma 60.00
_space_group_name_H-M_alt 'P 1'
_space_group_IT_number 1
loop_
_space_group_symop_operation_xyz
'x,y,z'
loop_
_atom_site_label
_atom_site_type_symbol
_atom_site_fract_x
_atom_site_fract_y
_atom_site_fract_z
Pu1 Pu 0.7500 0.7500 0.7500
Be1 Be 0.2500 0.2500 0.2500
Li1 Li 0.0000 0.0000 0.0000

2.
# ErSi2TcNi | OQMD via LeMat-Bulk | PBE-GGA | relaxed
# Symmetry: I-4m2 (119)
# Crystal system: tetragonal
# Calculated total energy in eV per atom: -7.024
data_ErSi2TcNi
_chemical_formula_sum 'Er1 Si2 Tc1 Ni1'
_cell_length_a 5.6901
_cell_length_b 5.6901
_cell_length_c 5.6901
_cell_angle_alpha 138.63
_cell_angle_beta 138.63
_cell_angle_gamma 59.94
_space_group_name_H-M_alt 'P 1'
_space_group_IT_number 1
loop_
_space_group_symop_operation_xyz
'x,y,z'
loop_
_atom_site_label
_atom_site_type_symbol
_atom_site_fract_x
_atom_site_fract_y
_atom_site_fract_z
Si1 Si 0.6240 0.6240 0.0000
Ni1 Ni 0.2500 0.7500 0.5000
Tc1 Tc 0.7500 0.2500 0.5000
Er1 Er 0.0000 0.0000 0.0000
Si2 Si 0.3760 0.3760 0.0000

3.
# LiHf | OQMD via LeMat-Bulk | PBE-GGA | relaxed
# Symmetry: P-6m2 (187)
# Crystal system: hexagonal
# ΔE to the lowest computed polymorph in kJ/mol of formula units: 0
# Calculated total energy in eV per atom: -5.613
data_LiHf
_chemical_formula_sum 'Li1 Hf1'
_cell_length_a 2.9397
_cell_length_b 2.9397
_cell_length_c 5.3772
_cell_angle_alpha 90.00
_cell_angle_beta 90.00
_cell_angle_gamma 120.00
_space_group_name_H-M_alt 'P 1'
_space_group_IT_number 1
loop_
_space_group_symop_operation_xyz
'x,y,z'
loop_
_atom_site_label
_atom_site_type_symbol
_atom_site_fract_x
_atom_site_fract_y
_atom_site_fract_z
Hf1 Hf 0.6667 0.3333 0.7500
Li1 Li 0.3333 0.6667 0.2500

4.
# Tm4InSnB2 | OQMD via LeMat-Bulk | PBE-GGA | relaxed
# Symmetry: P-6m2 (187)
# Crystal system: hexagonal
# Calculated total energy in eV per atom: -4.960
data_Tm4InSnB2
_chemical_formula_sum 'Tm4 In1 Sn1 B2'
_cell_length_a 3.5832
_cell_length_b 3.5832
_cell_length_c 16.5013
_cell_angle_alpha 90.00
_cell_angle_beta 90.00
_cell_angle_gamma 120.00
_space_group_name_H-M_alt 'P 1'
_space_group_IT_number 1
loop_
_space_group_symop_operation_xyz
'x,y,z'
loop_
_atom_site_label
_atom_site_type_symbol
_atom_site_fract_x
_atom_site_fract_y
_atom_site_fract_z
Tm1 Tm 0.0000 0.0000 0.8442
Tm2 Tm 0.0000 0.0000 0.1558
In1 In 0.0000 0.0000 0.5000
Tm3 Tm 0.3333 0.6667 0.6605
B1 B 0.6667 0.3333 0.2472
Tm4 Tm 0.3333 0.6667 0.3395
Sn1 Sn 0.3333 0.6667 0.0000
B2 B 0.6667 0.3333 0.7528

> Among the records above, which one has the lowest calculated total energy?

ErSi2TcNi

Repeat the first record exactly.
# LiPuBe | OQMD via LeMat-Bulk | PBE-GGA | relaxed
# Symmetry: F-43m (216)
# Crystal system: cubic
# Calculated total energy in eV per atom: -5.788
data_LiPuBe
_chemical_formula_sum 'Li1 Pu1 Be1'
_cell_length_a 4.4013
_cell_length_b 4.4013
_cell_length_c 4.4013
_cell_angle_alpha 60.00
_cell_angle_beta 60.00
_cell_angle_gamma 60.00
_space_group_name_H-M_alt 'P 1'
_space_group_IT_number 1
loop_
_space_group_symop_operation_xyz
'x,y,z'
loop_
_atom_site_label
_atom_site_type_symbol
_atom_site_fract_x
_atom_site_fract_y
_atom_site_fract_z
Pu1 Pu 0.7500 0.7500 0.7500
Be1 Be 0.2500 0.2500 0.2500
Li1 Li 0.0000 0.0000 0.0000